This record from Alexandria via LeMat-Bulk describes an optimized crystal structure of MnIn2Ru. The functional is PBE-GGA.

Results
ΔE to the lowest computed polymorph	0.1797	eV per atom
E_form	0.307	eV per atom

Lattice parameters (Å, degrees): 8.9520 8.9520 8.9520 19.87 19.87 19.87
Atoms (fractional coordinates):
Mn (0.0000, 0.0000, 0.0000)
In (0.2473, 0.2473, 0.2473)
In (0.7527, 0.7527, 0.7527)
Ru (0.5000, 0.5000, 0.5000)

---

This record from Alexandria via LeMat-Bulk describes an optimized crystal structure of Zn. The functional is PBE-GGA.

Results
ΔE to the lowest computed polymorph	0.2450	eV per atom
E_form	0.245	eV per atom

Lattice parameters (Å, degrees): 2.6253 2.6253 2.6253 90.00 90.00 90.00
Atoms (fractional coordinates):
Zn (0.0000, 0.0000, 0.0000)

---

This record from Alexandria via LeMat-Bulk describes an optimized crystal structure of Np2TiMnN5. The functional is PBE-GGA.

Results
ΔE_f (raw)	-1025	meV/atom

Lattice parameters (Å, degrees): 6.5236 6.5236 9.9355 90.00 90.00 152.08
Atoms (fractional coordinates):
Np (0.1041, 0.8959, 0.5000)
Np (0.1477, 0.8523, 0.1236)
Np (0.8523, 0.1477, 0.6236)
Np (0.8959, 0.1041, 0.0000)
Ti (0.2039, 0.7961, 0.8281)
Ti (0.7961, 0.2039, 0.3281)
Mn (0.4738, 0.5262, 0.2786)
Mn (0.5262, 0.4738, 0.7786)
N (0.0529, 0.9471, 0.8855)
N (0.2786, 0.7214, 0.4783)
N (0.3231, 0.6769, 0.1919)
N (0.3696, 0.6304, 0.8170)
N (0.4861, 0.5139, 0.5972)
N (0.5139, 0.4861, 0.0972)
N (0.6304, 0.3696, 0.3170)
N (0.6769, 0.3231, 0.6919)
N (0.7214, 0.2786, 0.9783)
N (0.9471, 0.0529, 0.3855)

---

This record from Alexandria via LeMat-Bulk describes an optimized crystal structure of Rb3Tm3TcO8. The functional is PBE-GGA.

Results
ΔE_f (raw)	-2494	meV/atom

Lattice parameters (Å, degrees): 7.6400 7.6400 7.6400 52.13 52.13 52.13
Atoms (fractional coordinates):
Rb (0.0000, 0.5000, 0.5000)
Rb (0.5000, 0.0000, 0.5000)
Rb (0.5000, 0.5000, 0.0000)
Tm (0.0000, 0.0000, 0.5000)
Tm (0.0000, 0.5000, 0.0000)
Tm (0.5000, 0.0000, 0.0000)
Tc (0.5000, 0.5000, 0.5000)
O (0.2230, 0.2230, 0.2230)
O (0.2432, 0.7101, 0.7101)
O (0.2899, 0.2899, 0.7568)
O (0.2899, 0.7568, 0.2899)
O (0.7101, 0.2432, 0.7101)
O (0.7101, 0.7101, 0.2432)
O (0.7568, 0.2899, 0.2899)
O (0.7770, 0.7770, 0.7770)

---

no.,raw total energy (eV/atom)
1,-5.6733
2,-1.0289
3,-10.4217
4,-6.9168